Record 1
Entry from the Open Quantum Materials Database: a relaxed structure of YHoCu2Sb4 (GGA-PBE).

The value obtained for the spin magnetization is 0.0003 μB/atom.

The structure belongs to space group P4mm (No. 99); the cell edges are 4.3093, 4.3093 and 9.8258 Å and the angles 90.00°, 90.00° and 90.00°. The inequivalent atoms are Y at (0.0000, 0.0000, 0.0000), Ho at (0.5000, 0.5000, 0.4991), Cu at (0.0000, 0.5000, 0.7490), Sb at (0.0000, 0.0000, 0.5865), Sb at (0.0000, 0.5000, 0.2506) and Sb at (0.5000, 0.5000, 0.9114).



Record 2
Entry from the Open Quantum Materials Database: a relaxed structure of CdInSn (GGA-PBE).

The structure belongs to space group Pnma (No. 62); the cell edges are 7.3529, 4.4893 and 9.4892 Å and the angles 90.00°, 90.00° and 90.00°. The inequivalent atoms are Cd at (0.0797, 0.2500, 0.2103), In at (0.1316, 0.2500, 0.5730) and Sn at (0.1922, 0.2500, 0.8937).



Record 3
Entry from the Open Quantum Materials Database: a relaxed structure of Nd2INCl2 (GGA-PBE).

The value obtained for the spin magnetization is 0.0004 μB/atom.

The structure belongs to space group C2/m (No. 12); the cell edges are 16.4110, 4.1005 and 11.2894 Å and the angles 90.00°, 118.40° and 90.00°. The inequivalent atoms are Nd at (0.0889, 0.0000, 0.4542), Nd at (0.1318, 0.5000, 0.7774), I at (0.1465, 0.0000, 0.0193), N at (0.0732, 0.0000, 0.6496), Cl at (0.0545, 0.5000, 0.2633) and Cl at (0.2201, 0.5000, 0.6058).



Record 4
Entry from the Open Quantum Materials Database: a relaxed structure of In10IrSe10 (GGA-PBE).

The value obtained for the spin magnetization is 0.0361 μB/atom.

The structure belongs to space group Pbam (No. 55); the cell edges are 11.9762, 12.4089 and 7.9278 Å and the angles 90.00°, 90.00° and 90.00°. The inequivalent atoms are In at (0.0000, 0.0000, 0.2172), In at (0.1189, 0.4169, 0.2467), In at (0.1405, 0.7232, 0.5000), In at (0.1476, 0.6548, 0.0000), Ir at (0.0000, 0.5000, 0.0000), Se at (0.0775, 0.2734, 0.5000), Se at (0.1167, 0.1278, 0.0000), Se at (0.1663, 0.8314, 0.2201) and Se at (0.2294, 0.5358, 0.5000).



Record 5
Entry from the Open Quantum Materials Database: a relaxed structure of ZnPdSeO (GGA-PBE).

The structure belongs to space group Pca2_1 (No. 29); the cell edges are 6.3213, 7.3110 and 5.8659 Å and the angles 90.00°, 90.00° and 90.00°. The inequivalent atoms are Zn at (0.1201, 0.1559, 0.0000), Pd at (0.2399, 0.6319, 0.8402), Se at (0.0010, 0.8404, 0.0822) and O at (0.0309, 0.6234, 0.5832).



Record 6
Entry from the Open Quantum Materials Database: a relaxed structure of PrSmNi2B2C2 (GGA-PBE).

The value obtained for the spin magnetization is 0.0012 μB/atom.

The structure belongs to space group P4mm (No. 99); the cell edges are 3.7241, 3.7241 and 7.5748 Å and the angles 90.00°, 90.00° and 90.00°. The inequivalent atoms are Pr at (0.0000, 0.0000, 0.0000), Sm at (0.5000, 0.5000, 0.6545), Ni at (0.0000, 0.5000, 0.3282), B at (0.0000, 0.0000, 0.4636), B at (0.5000, 0.5000, 0.1884), C at (0.0000, 0.0000, 0.6610) and C at (0.5000, 0.5000, 0.9906).



| no. | calculated volume (Å³ per atom) | E_tot (eV/cell) |
| --- | --- | --- |
| 1 | 22.81 | -39.85 |
| 2 | 26.10 | -29.66 |
| 3 | 27.84 | -137.58 |
| 4 | 28.05 | -160.09 |
| 5 | 16.94 | -66.07 |
| 6 | 13.13 | -55.54 |